1 | # Rb2TiIr

An optimized crystal structure of Rb2TiIr (GGA-PBE, the Alexandria database).

Cell and atoms, written as CIF:
```
data_Rb2TiIr
_chemical_formula_sum 'Rb8 Ti4 Ir4'
_cell_length_a 13.225
_cell_length_b 13.225
_cell_length_c 4.550
_cell_angle_alpha 90.00
_cell_angle_beta 90.00
_cell_angle_gamma 90.00
_symmetry_space_group_name_H-M 'I -4 2 d'
_symmetry_Int_Tables_number 122
_symmetry_space_group_name_Hall 'I -4 2bw'
loop_
_atom_site_label
_atom_site_type_symbol
_atom_site_fract_x
_atom_site_fract_y
_atom_site_fract_z
Rb1 Rb 0.081 0.250 0.125
Ti1 Ti 0.000 0.000 0.500
Ir1 Ir 0.000 0.000 0.000
```

V (Å³ per atom): 49.729
N(E_F) (states/eV per cell): 21.67



2 | # Rb2TiIr

An optimized crystal structure of Rb2TiIr (GGA-PBE, the Alexandria database).

Cell and atoms, written as CIF:
```
data_Rb2TiIr
_chemical_formula_sum 'Rb8 Ti4 Ir4'
_cell_length_a 7.850
_cell_length_b 7.850
_cell_length_c 7.850
_cell_angle_alpha 90.00
_cell_angle_beta 90.00
_cell_angle_gamma 90.00
_symmetry_space_group_name_H-M 'F m -3 m'
_symmetry_Int_Tables_number 225
_symmetry_space_group_name_Hall '-F 4 2 3'
loop_
_atom_site_label
_atom_site_type_symbol
_atom_site_fract_x
_atom_site_fract_y
_atom_site_fract_z
Rb1 Rb 0.250 0.250 0.250
Ti1 Ti 0.000 0.000 0.000
Ir1 Ir 0.000 0.000 0.500
```

V (Å³ per atom): 30.233
N(E_F) (states/eV per cell): 62.35



Winner for stability: 1



1 | # RbTiIr3

An optimized crystal structure of RbTiIr3 (GGA-PBE, the Alexandria database).

Cell and atoms, written as CIF:
```
data_RbTiIr3
_chemical_formula_sum 'Rb1 Ti1 Ir3'
_cell_length_a 4.762
_cell_length_b 4.762
_cell_length_c 4.762
_cell_angle_alpha 90.00
_cell_angle_beta 90.00
_cell_angle_gamma 90.00
_symmetry_space_group_name_H-M 'P m -3 m'
_symmetry_Int_Tables_number 221
_symmetry_space_group_name_Hall '-P 4 2 3'
loop_
_atom_site_label
_atom_site_type_symbol
_atom_site_fract_x
_atom_site_fract_y
_atom_site_fract_z
Rb1 Rb 0.000 0.000 0.000
Ti1 Ti 0.500 0.500 0.500
Ir1 Ir 0.000 0.000 0.500
```

V (Å³ per atom): 21.602
N(E_F) (states/eV per cell): 7.58



2 | # RbTiIr3

An optimized crystal structure of RbTiIr3 (GGA-PBE, the Alexandria database).

Cell and atoms, written as CIF:
```
data_RbTiIr3
_chemical_formula_sum 'Rb1 Ti1 Ir3'
_cell_length_a 4.775
_cell_length_b 4.775
_cell_length_c 4.775
_cell_angle_alpha 90.00
_cell_angle_beta 90.00
_cell_angle_gamma 90.00
_symmetry_space_group_name_H-M 'P m -3 m'
_symmetry_Int_Tables_number 221
_symmetry_space_group_name_Hall '-P 4 2 3'
loop_
_atom_site_label
_atom_site_type_symbol
_atom_site_fract_x
_atom_site_fract_y
_atom_site_fract_z
Rb1 Rb 0.000 0.000 0.000
Ti1 Ti 0.500 0.500 0.500
Ir1 Ir 0.000 0.500 0.500
```

V (Å³ per atom): 21.773
N(E_F) (states/eV per cell): 7.47



Winner for stability: 2



1 | # RbTiIr2

An optimized crystal structure of RbTiIr2 (GGA-PBE, the Alexandria database).

Cell and atoms, written as CIF:
```
data_RbTiIr2
_chemical_formula_sum 'Rb4 Ti4 Ir8'
_cell_length_a 5.287
_cell_length_b 5.287
_cell_length_c 16.073
_cell_angle_alpha 90.00
_cell_angle_beta 90.00
_cell_angle_gamma 90.00
_symmetry_space_group_name_H-M 'I 41/a m d'
_symmetry_Int_Tables_number 141
loop_
_symmetry_equiv_pos_as_xyz
'x,y,z'
'-x,-y,-z'
'-y+1/4,x+3/4,z+1/4'
'y+1/4,-x+3/4,-z+1/4'
'-x+1/2,-y,z+1/2'
'x+1/2,y,-z+1/2'
'y+1/4,-x+1/4,z+3/4'
'-y+1/4,x+1/4,-z+3/4'
'x,-y,-z'
'-x,y,z'
'-y+1/4,-x+1/4,-z+3/4'
'y+1/4,x+1/4,z+3/4'
'-x+1/2,y,-z+1/2'
'x+1/2,-y,z+1/2'
'y+1/4,x+3/4,-z+1/4'
'-y+1/4,-x+3/4,z+1/4'
'x+1/2,y+1/2,z+1/2'
'-x+1/2,-y+1/2,-z+1/2'
'-y+3/4,x+1/4,z+3/4'
'y+3/4,-x+1/4,-z+3/4'
'-x,-y+1/2,z'
'x,y+1/2,-z'
'y+3/4,-x+3/4,z+1/4'
'-y+3/4,x+3/4,-z+1/4'
'x+1/2,-y+1/2,-z+1/2'
'-x+1/2,y+1/2,z+1/2'
'-y+3/4,-x+3/4,-z+1/4'
'y+3/4,x+3/4,z+1/4'
'-x,y+1/2,-z'
'x,-y+1/2,z'
'y+3/4,x+1/4,-z+3/4'
'-y+3/4,-x+1/4,z+3/4'
loop_
_atom_site_label
_atom_site_type_symbol
_atom_site_fract_x
_atom_site_fract_y
_atom_site_fract_z
Rb1 Rb 0.000 0.250 0.375
Ti1 Ti 0.000 0.250 0.875
Ir1 Ir 0.000 0.000 0.000
```

V (Å³ per atom): 28.084
N(E_F) (states/eV per cell): 16.69



2 | # RbTiIr2

An optimized crystal structure of RbTiIr2 (GGA-PBE, the Alexandria database).

Cell and atoms, written as CIF:
```
data_RbTiIr2
_chemical_formula_sum 'Rb4 Ti4 Ir8'
_cell_length_a 6.665
_cell_length_b 6.665
_cell_length_c 6.665
_cell_angle_alpha 90.00
_cell_angle_beta 90.00
_cell_angle_gamma 90.00
_symmetry_space_group_name_H-M 'F m -3 m'
_symmetry_Int_Tables_number 225
_symmetry_space_group_name_Hall '-F 4 2 3'
loop_
_atom_site_label
_atom_site_type_symbol
_atom_site_fract_x
_atom_site_fract_y
_atom_site_fract_z
Rb1 Rb 0.000 0.000 0.000
Ti1 Ti 0.000 0.000 0.500
Ir1 Ir 0.250 0.250 0.250
```

V (Å³ per atom): 18.506
N(E_F) (states/eV per cell): 10.92



Winner for stability: 1



1 | # RbTlIr3

An optimized crystal structure of RbTlIr3 (GGA-PBE, the Alexandria database).

Cell and atoms, written as CIF:
```
data_RbTlIr3
_chemical_formula_sum 'Rb1 Tl1 Ir3'
_cell_length_a 4.996
_cell_length_b 4.996
_cell_length_c 4.996
_cell_angle_alpha 90.00
_cell_angle_beta 90.00
_cell_angle_gamma 90.00
_symmetry_space_group_name_H-M 'P m -3 m'
_symmetry_Int_Tables_number 221
_symmetry_space_group_name_Hall '-P 4 2 3'
loop_
_atom_site_label
_atom_site_type_symbol
_atom_site_fract_x
_atom_site_fract_y
_atom_site_fract_z
Rb1 Rb 0.000 0.000 0.000
Tl1 Tl 0.500 0.500 0.500
Ir1 Ir 0.000 0.000 0.500
```

V (Å³ per atom): 24.944
N(E_F) (states/eV per cell): 7.96



2 | # RbTlIr3

An optimized crystal structure of RbTlIr3 (GGA-PBE, the Alexandria database).

Cell and atoms, written as CIF:
```
data_RbTlIr3
_chemical_formula_sum 'Rb1 Tl1 Ir3'
_cell_length_a 5.149
_cell_length_b 5.149
_cell_length_c 5.149
_cell_angle_alpha 90.00
_cell_angle_beta 90.00
_cell_angle_gamma 90.00
_symmetry_space_group_name_H-M 'P m -3 m'
_symmetry_Int_Tables_number 221
_symmetry_space_group_name_Hall '-P 4 2 3'
loop_
_atom_site_label
_atom_site_type_symbol
_atom_site_fract_x
_atom_site_fract_y
_atom_site_fract_z
Rb1 Rb 0.000 0.000 0.000
Tl1 Tl 0.500 0.500 0.500
Ir1 Ir 0.000 0.500 0.500
```

V (Å³ per atom): 27.307
N(E_F) (states/eV per cell): 11.07



Winner for stability: 2



1 | # RbTlIr2

An optimized crystal structure of RbTlIr2 (GGA-PBE, the Alexandria database).

Cell and atoms, written as CIF:
```
data_RbTlIr2
_chemical_formula_sum 'Rb4 Tl4 Ir8'
_cell_length_a 6.928
_cell_length_b 6.928
_cell_length_c 6.928
_cell_angle_alpha 90.00
_cell_angle_beta 90.00
_cell_angle_gamma 90.00
_symmetry_space_group_name_H-M 'F m -3 m'
_symmetry_Int_Tables_number 225
_symmetry_space_group_name_Hall '-F 4 2 3'
loop_
_atom_site_label
_atom_site_type_symbol
_atom_site_fract_x
_atom_site_fract_y
_atom_site_fract_z
Rb1 Rb 0.000 0.000 0.000
Tl1 Tl 0.000 0.000 0.500
Ir1 Ir 0.250 0.250 0.250
```

V (Å³ per atom): 20.780
N(E_F) (states/eV per cell): 13.16



2 | # RbTlIr2

An optimized crystal structure of RbTlIr2 (GGA-PBE, the Alexandria database).

Cell and atoms, written as CIF:
```
data_RbTlIr2
_chemical_formula_sum 'Rb4 Tl4 Ir8'
_cell_length_a 4.978
_cell_length_b 4.978
_cell_length_c 19.204
_cell_angle_alpha 90.00
_cell_angle_beta 90.00
_cell_angle_gamma 90.00
_symmetry_space_group_name_H-M 'I -4 2 d'
_symmetry_Int_Tables_number 122
_symmetry_space_group_name_Hall 'I -4 2bw'
loop_
_atom_site_label
_atom_site_type_symbol
_atom_site_fract_x
_atom_site_fract_y
_atom_site_fract_z
Rb1 Rb 0.000 0.000 0.000
Tl1 Tl 0.000 0.000 0.500
Ir1 Ir 0.012 0.250 0.625
```

V (Å³ per atom): 29.746
N(E_F) (states/eV per cell): 11.38



Winner for stability: 2



1 | # RbVIr2

An optimized crystal structure of RbVIr2 (GGA-PBE, the Alexandria database).

Cell and atoms, written as CIF:
```
data_RbVIr2
_chemical_formula_sum 'Rb4 V4 Ir8'
_cell_length_a 7.378
_cell_length_b 7.378
_cell_length_c 7.149
_cell_angle_alpha 90.00
_cell_angle_beta 90.00
_cell_angle_gamma 90.00
_symmetry_space_group_name_H-M 'I -4 2 d'
_symmetry_Int_Tables_number 122
_symmetry_space_group_name_Hall 'I -4 2bw'
loop_
_atom_site_label
_atom_site_type_symbol
_atom_site_fract_x
_atom_site_fract_y
_atom_site_fract_z
Rb1 Rb 0.000 0.000 0.000
V1 V 0.000 0.000 0.500
Ir1 Ir 0.150 0.250 0.625
```

V (Å³ per atom): 24.321
N(E_F) (states/eV per cell): 1.58



2 | # RbVIr2

An optimized crystal structure of RbVIr2 (GGA-PBE, the Alexandria database).

Cell and atoms, written as CIF:
```
data_RbVIr2
_chemical_formula_sum 'Rb4 V4 Ir8'
_cell_length_a 6.603
_cell_length_b 6.603
_cell_length_c 6.603
_cell_angle_alpha 90.00
_cell_angle_beta 90.00
_cell_angle_gamma 90.00
_symmetry_space_group_name_H-M 'F m -3 m'
_symmetry_Int_Tables_number 225
_symmetry_space_group_name_Hall '-F 4 2 3'
loop_
_atom_site_label
_atom_site_type_symbol
_atom_site_fract_x
_atom_site_fract_y
_atom_site_fract_z
Rb1 Rb 0.000 0.000 0.000
V1 V 0.000 0.000 0.500
Ir1 Ir 0.250 0.250 0.250
```

V (Å³ per atom): 17.991
N(E_F) (states/eV per cell): 19.78



Winner for stability: 1